This record from Alexandria describes an optimized crystal structure of Dy2ZrZn6. The functional is GGA-PBE.

The space group is P6/mmm (No. 191) and the conventional cell measures 7.6834, 7.6834 and 3.3700 Å, with angles of 90.00, 90.00 and 120.00 degrees. The distinct sites, in fractional coordinates, are Dy at (0.3333, 0.6667, 0.0000), Zr at (0.0000, 0.0000, 0.0000) and Zn at (0.0000, 0.3275, 0.5000).

As for the raw total energy: -0.2321 Ry per atom. As for the total moment: 0.00 μB per formula unit. As for the formation energy: -0.336 eV/atom.